Record 1
Entry from Alexandria: a relaxed NdSm2Zn3 crystal (PBE).

Cell and atoms, written as CIF:
```
data_NdSm2Zn3
_chemical_formula_sum 'Nd1 Sm2 Zn3'
_space_group_name_H-M_alt 'P 4/m m m'
_space_group_IT_number 123
_space_group_name_Hall '-P 4 2'
_cell_length_a 3.656
_cell_length_b 3.656
_cell_length_c 10.988
_cell_angle_alpha 90.00
_cell_angle_beta 90.00
_cell_angle_gamma 90.00
loop_
_atom_site_label
_atom_site_fract_x
_atom_site_fract_y
_atom_site_fract_z
Nd1 0.000 0.000 0.000
Sm1 0.000 0.000 0.335
Zn1 0.500 0.500 0.171
Zn2 0.500 0.500 0.500
```

offset from the most stable computed form: 0.002 eV/atom
size of the total moment: 0.00 μB/cell
energy of formation: -0.31 eV per atom
mass density: 7.25 g/cm³
DOS(E_F): 1.271 states/eV per atom

***

Record 2
Entry from Alexandria: a relaxed NdSm3Zn4 crystal (PBE).

Cell and atoms, written as CIF:
```
data_NdSm3Zn4
_chemical_formula_sum 'Nd1 Sm3 Zn4'
_space_group_name_H-M_alt 'P 4/m m m'
_space_group_IT_number 123
_space_group_name_Hall '-P 4 2'
_cell_length_a 5.152
_cell_length_b 5.152
_cell_length_c 7.329
_cell_angle_alpha 90.00
_cell_angle_beta 90.00
_cell_angle_gamma 90.00
loop_
_atom_site_label
_atom_site_fract_x
_atom_site_fract_y
_atom_site_fract_z
Nd1 0.000 0.000 0.000
Sm1 0.000 0.000 0.500
Sm2 0.500 0.500 0.000
Sm3 0.500 0.500 0.500
Zn1 0.000 0.500 0.252
```

size of the total moment: 0.00 μB/cell
energy of formation: -0.32 eV per atom
mass density: 7.32 g/cm³
DOS(E_F): 1.097 states/eV per atom

***

Record 3
Entry from Alexandria: a relaxed NdSm2Zn2 crystal (PBE).

Cell and atoms, written as CIF:
```
data_NdSm2Zn2
_chemical_formula_sum 'Nd4 Sm8 Zn8'
_space_group_name_H-M_alt 'C m c 21'
_space_group_IT_number 36
_cell_length_a 5.368
_cell_length_b 15.559
_cell_length_c 6.345
_cell_angle_alpha 90.00
_cell_angle_beta 90.00
_cell_angle_gamma 90.00
loop_
_space_group_symop_operation_xyz
'x,y,z'
'-x,-y,z+1/2'
'-x,y,z'
'x,-y,z+1/2'
'x+1/2,y+1/2,z'
'-x+1/2,-y+1/2,z+1/2'
'-x+1/2,y+1/2,z'
'x+1/2,-y+1/2,z+1/2'
loop_
_atom_site_label
_atom_site_fract_x
_atom_site_fract_y
_atom_site_fract_z
Nd1 0.000 0.085 0.000
Sm1 0.000 0.296 0.762
Sm2 0.000 0.460 0.147
Zn1 0.000 0.125 0.492
Zn2 0.000 0.281 0.273
```

offset from the most stable computed form: 0.059 eV/atom
size of the total moment: 0.00 μB/cell
energy of formation: -0.18 eV per atom
mass density: 7.22 g/cm³
DOS(E_F): 0.998 states/eV per atom

***

Record 4
Entry from Alexandria: a relaxed Nd2Sm6Zn crystal (PBE).

Cell and atoms, written as CIF:
```
data_Nd2Sm6Zn
_chemical_formula_sum 'Nd4 Sm12 Zn2'
_space_group_name_H-M_alt 'P n n m'
_space_group_IT_number 58
_cell_length_a 9.969
_cell_length_b 10.425
_cell_length_c 5.533
_cell_angle_alpha 90.00
_cell_angle_beta 90.00
_cell_angle_gamma 90.00
loop_
_space_group_symop_operation_xyz
'x,y,z'
'-x,-y,-z'
'-x,-y,z'
'x,y,-z'
'x+1/2,-y+1/2,-z+1/2'
'-x+1/2,y+1/2,z+1/2'
'-x+1/2,y+1/2,-z+1/2'
'x+1/2,-y+1/2,z+1/2'
loop_
_atom_site_label
_atom_site_fract_x
_atom_site_fract_y
_atom_site_fract_z
Nd1 0.188 0.249 0.000
Sm1 0.014 0.307 0.500
Sm2 0.135 0.897 0.000
Sm3 0.192 0.573 0.000
Zn1 0.000 0.000 0.500
```

offset from the most stable computed form: 0.059 eV/atom
size of the total moment: 0.00 μB/cell
energy of formation: 0.02 eV per atom
mass density: 7.25 g/cm³
DOS(E_F): 1.337 states/eV per atom

***

Record 5
Entry from Alexandria: a relaxed NdSm3Zn8 crystal (PBE).

Cell and atoms, written as CIF:
```
data_NdSm3Zn8
_chemical_formula_sum 'Nd1 Sm3 Zn8'
_space_group_name_H-M_alt 'P 3 m 1'
_space_group_IT_number 156
_cell_length_a 5.6627
_cell_length_b 5.6627
_cell_length_c 8.7036
_cell_angle_alpha 90.00
_cell_angle_beta 90.00
_cell_angle_gamma 120.00
loop_
_space_group_symop_operation_xyz
'x,y,z'
'-y,x-y,z'
'-x+y,-x,z'
'-y,-x,z'
'-x+y,y,z'
'x,x-y,z'
loop_
_atom_site_label
_atom_site_fract_x
_atom_site_fract_y
_atom_site_fract_z
Nd1 0.0000 0.0000 0.0000
Sm1 0.0000 0.0000 0.3942
Sm2 0.6667 0.3333 0.5019
Sm3 0.6667 0.3333 0.8940
Zn1 0.0020 0.5010 0.1984
Zn2 0.1688 0.3377 0.6959
Zn3 0.3333 0.6667 0.4464
Zn4 0.3333 0.6667 0.9481
```

offset from the most stable computed form: 0.017 eV/atom
size of the total moment: 0.00 μB/cell
energy of formation: -0.31 eV per atom
mass density: 7.69 g/cm³
DOS(E_F): 0.576 states/eV per atom

***

Record 6
Entry from Alexandria: a relaxed NdSm2Zn crystal (PBE).

Cell and atoms, written as CIF:
```
data_NdSm2Zn
_chemical_formula_sum 'Nd4 Sm8 Zn4'
_space_group_name_H-M_alt 'F m -3 m'
_space_group_IT_number 225
_space_group_name_Hall '-F 4 2 3'
_cell_length_a 7.716
_cell_length_b 7.716
_cell_length_c 7.716
_cell_angle_alpha 90.00
_cell_angle_beta 90.00
_cell_angle_gamma 90.00
loop_
_atom_site_label
_atom_site_fract_x
_atom_site_fract_y
_atom_site_fract_z
Nd1 0.000 0.000 0.000
Sm1 0.250 0.250 0.250
Zn1 0.000 0.000 0.500
```

offset from the most stable computed form: 0.229 eV/atom
size of the total moment: 0.00 μB/cell
energy of formation: 0.07 eV per atom
mass density: 7.38 g/cm³
DOS(E_F): 1.337 states/eV per atom

***

Record 7
Entry from Alexandria: a relaxed Nd4Sm9Zn11 crystal (PBE).

Cell and atoms, written as CIF:
```
data_Nd4Sm9Zn11
_chemical_formula_sum 'Nd8 Sm18 Zn22'
_space_group_name_H-M_alt 'C m m m'
_space_group_IT_number 65
_space_group_name_Hall '-C 2 2'
_cell_length_a 15.622
_cell_length_b 21.612
_cell_length_c 3.555
_cell_angle_alpha 90.00
_cell_angle_beta 90.00
_cell_angle_gamma 90.00
loop_
_atom_site_label
_atom_site_fract_x
_atom_site_fract_y
_atom_site_fract_z
Nd1 0.167 0.087 0.000
Sm1 0.000 0.000 0.000
Sm2 0.113 0.408 0.000
Sm3 0.116 0.236 0.000
Zn1 0.000 0.132 0.500
Zn2 0.000 0.322 0.500
Zn3 0.000 0.500 0.500
Zn4 0.215 0.500 0.500
Zn5 0.232 0.318 0.500
```

size of the total moment: 0.00 μB/cell
energy of formation: -0.23 eV per atom
mass density: 7.33 g/cm³
DOS(E_F): 0.993 states/eV per atom

***

Record 8
Entry from Alexandria: a relaxed NdSm3Zn2 crystal (PBE).

Cell and atoms, written as CIF:
```
data_NdSm3Zn2
_chemical_formula_sum 'Nd4 Sm12 Zn8'
_space_group_name_H-M_alt 'I b a m'
_space_group_IT_number 72
_space_group_name_Hall '-I 2 2c'
_cell_length_a 6.973
_cell_length_b 14.541
_cell_length_c 7.392
_cell_angle_alpha 90.00
_cell_angle_beta 90.00
_cell_angle_gamma 90.00
loop_
_atom_site_label
_atom_site_fract_x
_atom_site_fract_y
_atom_site_fract_z
Nd1 0.000 0.000 0.000
Sm1 0.000 0.227 0.250
Sm2 0.000 0.500 0.250
Zn1 0.200 0.360 0.000
```

offset from the most stable computed form: 0.267 eV/atom
size of the total moment: 0.02 μB/cell
energy of formation: 0.05 eV per atom
mass density: 6.44 g/cm³
DOS(E_F): 1.749 states/eV per atom

***

Record 9
Entry from Alexandria: a relaxed Nd6SmZn2 crystal (PBE).

Cell and atoms, written as CIF:
```
data_Nd6SmZn2
_chemical_formula_sum 'Nd12 Sm2 Zn4'
_space_group_name_H-M_alt 'C 1 2/m 1'
_space_group_IT_number 12
_cell_length_a 12.826
_cell_length_b 3.745
_cell_length_c 12.148
_cell_angle_alpha 90.00
_cell_angle_beta 109.46
_cell_angle_gamma 90.00
loop_
_space_group_symop_operation_xyz
'x,y,z'
'-x,-y,-z'
'-x,y,-z'
'x,-y,z'
'x+1/2,y+1/2,z'
'-x+1/2,-y+1/2,-z'
'-x+1/2,y+1/2,-z'
'x+1/2,-y+1/2,z'
loop_
_atom_site_label
_atom_site_fract_x
_atom_site_fract_y
_atom_site_fract_z
Nd1 0.027 0.000 0.327
Nd2 0.188 0.500 0.591
Nd3 0.189 0.500 0.875
Sm1 0.000 0.000 0.000
Zn1 0.147 0.500 0.199
```

size of the total moment: 0.00 μB/cell
energy of formation: -0.13 eV per atom
mass density: 6.92 g/cm³
DOS(E_F): 1.056 states/eV per atom

***

Record 10
Entry from Alexandria: a relaxed NdSm4Zn4 crystal (PBE).

Cell and atoms, written as CIF:
```
data_NdSm4Zn4
_chemical_formula_sum 'Nd2 Sm8 Zn8'
_space_group_name_H-M_alt 'I 4/m'
_space_group_IT_number 87
_space_group_name_Hall '-I 4'
_cell_length_a 9.676
_cell_length_b 9.676
_cell_length_c 5.178
_cell_angle_alpha 90.00
_cell_angle_beta 90.00
_cell_angle_gamma 90.00
loop_
_atom_site_label
_atom_site_fract_x
_atom_site_fract_y
_atom_site_fract_z
Nd1 0.000 0.000 0.000
Sm1 0.110 0.345 0.000
Zn1 0.075 0.178 0.500
```

size of the total moment: 0.00 μB/cell
energy of formation: -0.14 eV per atom
mass density: 6.90 g/cm³
DOS(E_F): 1.001 states/eV per atom

***

Record 11
Entry from Alexandria: a relaxed Nd3Sm12Zn crystal (PBE).

Cell and atoms, written as CIF:
```
data_Nd3Sm12Zn
_chemical_formula_sum 'Nd3 Sm12 Zn1'
_space_group_name_H-M_alt 'P 4/m m m'
_space_group_IT_number 123
_space_group_name_Hall '-P 4 2'
_cell_length_a 5.066
_cell_length_b 5.066
_cell_length_c 20.401
_cell_angle_alpha 90.00
_cell_angle_beta 90.00
_cell_angle_gamma 90.00
loop_
_atom_site_label
_atom_site_fract_x
_atom_site_fract_y
_atom_site_fract_z
Nd1 0.000 0.000 0.000
Nd2 0.000 0.000 0.256
Sm1 0.000 0.500 0.128
Sm2 0.000 0.500 0.384
Sm3 0.500 0.500 0.000
Sm4 0.500 0.500 0.259
Sm5 0.500 0.500 0.500
Zn1 0.000 0.000 0.500
```

size of the total moment: 0.00 μB/cell
energy of formation: 0.02 eV per atom
mass density: 7.30 g/cm³
DOS(E_F): 1.449 states/eV per atom

***

DOS(E_F) of number 2 (NdSm3Zn4)?
1.097 states/eV per atom

***

Which formula does entry 6 have?
NdSm2Zn